(1)
## SbTe2Cl (GGA-PBEsol)

Data for a relaxed SbTe2Cl crystal.

```
4
Lattice="3.141 0.000 0.000 0.000 4.803 0.000 -0.003 0.000 6.950" Properties=species:S:1:pos:R:3 pbc="T T T"
Sb 0.000 0.000 0.000
Te 3.134 0.000 3.045
Te 3.134 2.401 5.016
Cl 1.563 2.401 1.237
```

## Properties
As for the polymorph energy (0 for the lowest one): 131 meV per atom. The raw formation energy is -0.102 eV per atom. The total energy is -3.507 eV/atom.


(2)
## K3TlF (GGA-PBEsol)

Data for a relaxed K3TlF crystal.

```
5
Lattice="5.408 0.000 0.000 0.000 5.408 0.000 0.000 0.000 5.408" Properties=species:S:1:pos:R:3 pbc="T T T"
K 0.000 0.000 2.704
K 0.000 2.704 0.000
K 2.704 0.000 0.000
Tl 2.704 2.704 2.704
F 0.000 0.000 0.000
```

## Properties
The raw formation energy is -1.035 eV per atom. The total energy is -2.627 eV/atom.


(3)
## Y2TiAlN (GGA-PBEsol)

Data for a relaxed Y2TiAlN crystal.

```
5
Lattice="5.109 0.000 0.000 0.000 5.109 0.000 0.000 0.000 4.774" Properties=species:S:1:pos:R:3 pbc="T T T"
Y 0.000 2.555 0.000
Y 2.555 0.000 0.000
Ti 0.000 0.000 0.000
Al 0.000 0.000 2.387
N 2.555 2.555 2.387
```

## Properties
The raw formation energy is 1.422 eV per atom. The total energy is -5.495 eV/atom.


(4)
## Mg2H2Se (GGA-PBEsol)

Data for a relaxed Mg2H2Se crystal.

```
5
Lattice="-1.713 1.713 5.358 1.713 -1.713 5.358 1.713 1.713 -5.358" Properties=species:S:1:pos:R:3 pbc="T T T"
Mg 0.000 0.000 1.586
Mg 0.000 0.000 9.130
H 1.713 0.000 2.679
H 0.000 1.713 2.679
Se 0.000 0.000 5.358
```

## Properties
The total energy is -3.276 eV/atom.


(5)
## TcTeBr4 (GGA-PBEsol)

Data for a relaxed TcTeBr4 crystal.

```
6
Lattice="0.000 4.238 4.238 4.238 0.000 4.238 4.238 4.238 0.000" Properties=species:S:1:pos:R:3 pbc="T T T"
Tc 0.000 0.000 0.000
Te 2.119 2.119 2.119
Br 5.302 3.174 3.174
Br 3.174 5.302 3.174
Br 3.174 3.174 5.302
Br 5.302 5.302 5.302
```

## Properties
The raw formation energy is 1.174 eV per atom. The total energy is -2.538 eV/atom.


(6)
## Na2CoNiF7 (GGA-PBEsol)

Data for a relaxed Na2CoNiF7 crystal.

```
22
Lattice="-3.509 4.978 3.624 3.509 -4.978 3.624 3.509 4.978 -3.624" Properties=species:S:1:pos:R:3 pbc="T T T"
Na 0.000 0.000 0.000
Na -1.754 2.489 1.812
Na 0.000 4.978 0.000
Na 1.754 2.489 1.812
Co 1.754 2.489 -1.812
Co 1.754 -2.489 1.812
Ni 3.509 0.000 0.000
Ni 0.000 0.000 3.624
F 2.029 1.200 -0.519
F 4.988 1.200 -0.519
F 3.509 -2.489 2.425
F 2.029 3.778 -0.519
F 1.480 -1.200 3.105
F 3.509 0.973 1.673
F 0.000 0.973 1.951
F 3.509 4.005 1.673
F 0.000 4.005 1.951
F 2.029 6.178 0.519
F 1.480 1.200 4.144
F 0.000 7.467 1.200
F -1.480 3.778 4.144
F 1.480 3.778 4.144
```

## Properties
The raw formation energy is -2.130 eV per atom. The total energy is -4.874 eV/atom.